Here is an optimized crystal structure of Mn2ReRh from Alexandria via LeMat-Bulk. Energies are from PBE-GGA.

Cell: 4.5033 4.5033 4.6513 Å, 80.63 80.63 34.16°
Site moments in Bohr magnetons follow the coordinates.
Fractional positions:
Rh 0.2500 0.2500 0.2500  -0.02
Re 0.7500 0.7500 0.7500  -0.19
Mn 0.9984 0.9984 0.9983  1.27
Mn 0.5016 0.5016 0.5017  1.27

Output
As for the uncorrected energy: -9.455 eV per atom. Its space group is C2/m, No. 12.


Here is an optimized crystal structure of Mn3ReRh12 from Alexandria via LeMat-Bulk. Energies are from PBE-GGA.

Cell: 3.8242 3.8242 15.2994 Å, 90.00 90.00 90.00°
Site moments in Bohr magnetons follow the coordinates.
Fractional positions:
Mn 0.0000 0.0000 0.2553  3.24
Mn 0.0000 0.0000 0.7447  3.24
Mn 0.0000 0.0000 0.5000  2.85
Rh 0.5000 0.0000 0.3767  -0.16
Rh 0.5000 0.5000 0.2504  -0.12
Rh 0.5000 0.0000 0.8764  -0.03
Rh 0.5000 0.0000 0.6233  -0.16
Rh 0.5000 0.5000 0.5000  -0.20
Rh 0.5000 0.5000 0.0000  -0.05
Rh 0.5000 0.0000 0.1236  -0.03
Rh 0.0000 0.5000 0.6233  -0.16
Rh 0.0000 0.5000 0.3767  -0.16
Rh 0.5000 0.5000 0.7496  -0.12
Rh 0.0000 0.5000 0.8764  -0.03
Rh 0.0000 0.5000 0.1236  -0.03
Re 0.0000 0.0000 0.0000  0.10

Output
As for the uncorrected energy: -8.136 eV per atom. Its space group is P4/mmm, No. 123.


Here is an optimized crystal structure of MnReRh3 from Alexandria via LeMat-Bulk. Energies are from PBE-GGA.

Cell: 4.6895 4.6895 4.6895 Å, 90.00 90.00 90.00°
Site moments in Bohr magnetons follow the coordinates.
Fractional positions:
Rh 0.0000 0.5000 0.0000  0.05
Rh 0.0000 0.0000 0.5000  -0.01
Rh 0.5000 0.0000 0.0000  0.12
Re 0.0000 0.0000 0.0000  -0.01
Mn 0.5000 0.5000 0.5000  4.35

Output
As for the uncorrected energy: -7.542 eV per atom. As for the excess energy over the best structure of this formula in the dataset: 0.0000 eV/atom. Its space group is Pm-3m, No. 221.


Here is an optimized crystal structure of MnReRh4 from Alexandria via LeMat-Bulk. Energies are from PBE-GGA.

Cell: 5.2112 5.2112 7.8009 Å, 100.34 100.34 117.68°
Site moments in Bohr magnetons follow the coordinates.
Fractional positions:
Rh 0.2813 0.5362 0.5595  -0.11
Rh 0.7787 0.0238 0.5594  -0.11
Rh 0.0238 0.7787 0.0594  -0.11
Rh 0.5362 0.2813 0.0595  -0.11
Rh 0.4638 0.7187 0.9405  -0.11
Rh 0.7187 0.4638 0.4405  -0.11
Rh 0.2213 0.9762 0.4406  -0.11
Rh 0.9762 0.2213 0.9406  -0.11
Mn 0.3750 0.6250 0.2500  2.82
Mn 0.6250 0.3750 0.7500  2.82
Re 0.8751 0.1249 0.2500  -0.45
Re 0.1249 0.8751 0.7500  -0.45

Output
As for the uncorrected energy: -8.399 eV per atom. As for the excess energy over the best structure of this formula in the dataset: 0.0000 eV/atom. Its space group is Fddd, No. 70.


Here is an optimized crystal structure of Mn2ReRh from Alexandria via LeMat-Bulk. Energies are from PBE-GGA.

Cell: 8.6186 8.6186 8.6186 Å, 17.78 17.78 17.78°
Site moments in Bohr magnetons follow the coordinates.
Fractional positions:
Mn 0.4995 0.4995 0.4995  0.79
Mn 0.0005 0.0005 0.0005  0.79
Re 0.2500 0.2500 0.2500  -0.19
Rh 0.7500 0.7500 0.7500  -0.06

Output
As for the uncorrected energy: -9.407 eV per atom. Its space group is R-3m, No. 166.


Here is an optimized crystal structure of Mn2ReRh from Alexandria via LeMat-Bulk. Energies are from PBE-GGA.

Cell: 5.0028 5.0028 5.0028 Å, 145.85 126.90 64.66°
Site moments in Bohr magnetons follow the coordinates.
Fractional positions:
Re 0.7500 0.2500 0.5000  -0.49
Rh 0.2500 0.7500 0.5000  0.42
Mn 0.5049 0.5049 0.0000  2.87
Mn 0.9951 0.9951 0.0000  2.87

Output
As for the uncorrected energy: -9.372 eV per atom. Its space group is Immm, No. 71.


| no. | DOS at the Fermi energy (states/eV per cell) | energy relative to the elements (kcal/mol of atoms) | M_tot (μB per formula unit) |
| --- | --- | --- | --- |
| 1 | 4.72 | 1.8 | 2.37 |
| 2 | 16.67 | -2.9 | 8.32 |
| 3 | 4.31 | 27.5 | 4.77 |
| 4 | 14.71 | 2.4 | 2.01 |
| 5 | 5.49 | 2.9 | 1.36 |
| 6 | 3.62 | 3.7 | 5.80 |